## MnAl2Pb (PBE)

Data for MnAl2Pb after structural relaxation.

```
data_MnAl2Pb
_chemical_formula_sum 'Mn2 Al4 Pb2'
_space_group_name_H-M_alt 'C m m m'
_space_group_IT_number 65
_space_group_name_Hall '-C 2 2'
_cell_length_a 5.811
_cell_length_b 8.461
_cell_length_c 3.189
_cell_angle_alpha 90.00
_cell_angle_beta 90.00
_cell_angle_gamma 90.00
loop_
_atom_site_label
_atom_site_fract_x
_atom_site_fract_y
_atom_site_fract_z
Mn1 0.000 0.000 0.000
Al1 0.250 0.250 0.500
Pb1 0.000 0.500 0.000
```

Calculated values
* energy of formation: 0.345 eV/atom
* electronic total energy: -4.746 eV per atom